PmTh2Ir2: optimized geometry, GGA-PBE.

Calculated values
- E_form (eV per formula unit) = -3.81
- total moment (μB/cell) = 0.00
- SG = P4/mbm, No. 127

CIF file:
```
data_PmTh2Ir2
_chemical_formula_sum 'Pm2 Th4 Ir4'
_space_group_name_H-M_alt 'P 1'
_space_group_IT_number 1
_cell_length_a 3.9096
_cell_length_b 7.9569
_cell_length_c 7.9569
_cell_angle_alpha 90.00
_cell_angle_beta 90.00
_cell_angle_gamma 90.00
loop_
_space_group_symop_operation_xyz
'x,y,z'
loop_
_atom_site_label
_atom_site_type_symbol
_atom_site_fract_x
_atom_site_fract_y
_atom_site_fract_z
Ir1 Ir 0.0000 0.1351 0.3649
Ir2 Ir 0.0000 0.6351 0.1351
Pm1 Pm 0.0000 0.5000 0.5000
Th1 Th 0.5000 0.6642 0.8358
Th2 Th 0.5000 0.1642 0.6642
Ir3 Ir 0.0000 0.8649 0.6351
Pm2 Pm 0.0000 0.0000 0.0000
Th3 Th 0.5000 0.3358 0.1642
Ir4 Ir 0.0000 0.3649 0.8649
Th4 Th 0.5000 0.8358 0.3358
```


PmThIr: optimized geometry, GGA-PBE.

Calculated values
- E_form (eV per formula unit) = -1.81
- total moment (μB/cell) = 0.00
- SG = Cm, No. 8
- energy above the lowest structure with this stoichiometry (meV per atom) = 0.0

CIF file:
```
data_PmThIr
_chemical_formula_sum 'Pm2 Th2 Ir2'
_space_group_name_H-M_alt 'P 1'
_space_group_IT_number 1
_cell_length_a 3.9393
_cell_length_b 6.5145
_cell_length_c 7.1481
_cell_angle_alpha 74.06
_cell_angle_beta 74.01
_cell_angle_gamma 72.40
loop_
_space_group_symop_operation_xyz
'x,y,z'
loop_
_atom_site_label
_atom_site_type_symbol
_atom_site_fract_x
_atom_site_fract_y
_atom_site_fract_z
Pm1 Pm 0.3298 0.9093 0.4311
Pm2 Pm 0.7614 0.3510 0.1262
Ir1 Ir 0.3117 0.5650 0.8117
Th1 Th 0.9979 0.4297 0.5746
Th2 Th 0.5888 0.9335 0.8889
Ir2 Ir 0.0337 0.7515 0.1811
```


Copy entry 1 word for word.
PmTh2Ir2: optimized geometry, GGA-PBE.

Calculated values
- E_form (eV per formula unit) = -3.81
- total moment (μB/cell) = 0.00
- SG = P4/mbm, No. 127

CIF file:
```
data_PmTh2Ir2
_chemical_formula_sum 'Pm2 Th4 Ir4'
_space_group_name_H-M_alt 'P 1'
_space_group_IT_number 1
_cell_length_a 3.9096
_cell_length_b 7.9569
_cell_length_c 7.9569
_cell_angle_alpha 90.00
_cell_angle_beta 90.00
_cell_angle_gamma 90.00
loop_
_space_group_symop_operation_xyz
'x,y,z'
loop_
_atom_site_label
_atom_site_type_symbol
_atom_site_fract_x
_atom_site_fract_y
_atom_site_fract_z
Ir1 Ir 0.0000 0.1351 0.3649
Ir2 Ir 0.0000 0.6351 0.1351
Pm1 Pm 0.0000 0.5000 0.5000
Th1 Th 0.5000 0.6642 0.8358
Th2 Th 0.5000 0.1642 0.6642
Ir3 Ir 0.0000 0.8649 0.6351
Pm2 Pm 0.0000 0.0000 0.0000
Th3 Th 0.5000 0.3358 0.1642
Ir4 Ir 0.0000 0.3649 0.8649
Th4 Th 0.5000 0.8358 0.3358
```